[1]
The following is a GGA-PBE calculation of a relaxed Hg2RhBr crystal, from Alexandria via LeMat-Bulk.

Structure (POSCAR):
```
Hg2RhBr
1.0
3.2175 0.0000 0.0000
0.0000 3.2175 0.0000
0.0000 0.0000 8.9106
Hg Rh Br
2 1 1
Direct
0.5000 0.5000 0.3040 Hg
0.0000 0.0000 0.0152 Hg
0.0000 0.0000 0.4987 Rh
0.5000 0.5000 0.6821 Br
```

Calculated values
Energy relative to the lowest polymorph listed for this composition = 0.2067 eV per atom
Space-group type = P4mm
Energy relative to the elements, uncorrected = 269 meV per atom

[2]
The following is a GGA-PBE calculation of a relaxed Hg2RhBr crystal, from Alexandria via LeMat-Bulk.

Structure (POSCAR):
```
Hg2RhBr
1.0
3.3404 0.0000 0.0000
0.0000 4.6159 0.0000
0.0000 0.0000 5.5417
Br Hg Rh
1 2 1
Direct
0.0000 0.5000 0.5000 Br
0.0000 0.0000 0.0000 Hg
0.5000 0.5000 0.0000 Hg
0.5000 0.0000 0.5000 Rh
```

Calculated values
Energy relative to the lowest polymorph listed for this composition = 0.3383 eV per atom
Space-group type = Pmmm
Energy relative to the elements, uncorrected = 401 meV per atom

[3]
The following is a GGA-PBE calculation of a relaxed HgRhBr2 crystal, from Alexandria via LeMat-Bulk.

Structure (POSCAR):
```
HgRhBr2
1.0
0.0000 3.5601 3.5601
3.5601 0.0000 3.5601
3.5601 3.5601 0.0000
Br Rh Hg
2 1 1
Direct
0.2500 0.2500 0.2500 Br
0.7500 0.7500 0.7500 Br
0.0000 0.0000 0.0000 Rh
0.5000 0.5000 0.5000 Hg
```

Calculated values
Energy relative to the lowest polymorph listed for this composition = 0.6264 eV per atom
Space-group type = Fm-3m
Energy relative to the elements, uncorrected = 481 meV per atom